Na2As2Pb3 PBE-GGA optimized geometry; final energy = -3.436 eV per atom
1.0
5.872 -2.147 0.000
5.872 2.147 0.000
-2.321 0.000 8.072
Na As Pb
2 2 3
Direct
0.156 0.156 0.327
0.844 0.844 0.673
0.166 0.166 0.719
0.834 0.834 0.281
0.376 0.376 0.066
0.500 0.500 0.500
0.624 0.624 0.934

Pm2Er6Pu PBE-GGA optimized geometry; final energy = -5.605 eV per atom
1.0
6.525 0.000 0.000
-1.178 8.761 0.000
-1.920 -2.967 9.692
Pm Er Pu
4 12 2
Direct
0.059 0.373 0.257
0.416 0.671 0.578
0.584 0.329 0.422
0.941 0.627 0.743
0.089 0.341 0.909
0.108 0.285 0.557
0.253 0.007 0.737
0.276 0.945 0.383
0.431 0.763 0.946
0.444 0.609 0.207
0.556 0.391 0.793
0.569 0.237 0.054
0.724 0.055 0.617
0.747 0.993 0.263
0.892 0.715 0.443
0.911 0.659 0.091
0.174 0.028 0.107
0.826 0.972 0.893